Crystalline Rb2SrAu2Cl6 at its relaxed geometry, computed with PBE.

extended XYZ file:
```
11
Lattice="7.5953 0.0000 0.0000 -3.7976 7.0577 -0.1426 0.0000 -4.1913 6.8593" Properties=species:S:1:pos:R:3 pbc="T T T"
Cl 1.9230 5.2900 1.1585
Sr 3.7976 -2.0957 3.4297
Cl 1.8746 -2.4236 5.5582
Cl 3.7976 0.7212 4.2090
Au 0.0000 -0.0397 1.5070
Cl -1.9230 5.2900 1.1585
Cl 0.0000 2.1451 2.5077
Rb 3.7976 2.4692 1.3233
Cl 5.7207 -2.4236 5.5582
Rb 0.0000 0.3972 5.3934
Au 3.7976 2.9061 5.2097
```

Output
crystal system: monoclinic
formation energy (no corrections): -1.375 eV/atom
size of the total moment: 0.0 Bohr magnetons per cell

***

Crystalline Rb2SrAuCl6 at its relaxed geometry, computed with PBE.

extended XYZ file:
```
10
Lattice="-5.3462 0.9233 -5.7559 -2.0443 -7.6109 0.6778 -7.3236 -2.0506 1.0385" Properties=species:S:1:pos:R:3 pbc="T T T"
Cl -1.8289 -1.6550 -1.2567
Cl -2.8614 -5.4989 -0.9144
Cl -5.6701 -2.6399 -0.5918
Sr -3.6952 -3.3438 -2.5390
Au 0.0000 0.0000 0.0000
Rb -8.1825 -2.2355 -3.6283
Cl -9.0439 -6.0983 -3.4478
Cl -5.5615 -5.0326 -3.8214
Cl -4.5290 -1.1887 -4.1637
Rb -6.5315 -6.5027 -0.4114
```

Output
crystal system: tetragonal
formation energy (no corrections): -1.507 eV/atom
size of the total moment: 1.0 Bohr magnetons per cell

***

Crystalline Rb2TaAuCl6 at its relaxed geometry, computed with PBE.

extended XYZ file:
```
10
Lattice="8.1084 0.0000 0.0000 0.0000 8.1084 0.0000 4.0542 4.0542 4.5469" Properties=species:S:1:pos:R:3 pbc="T T T"
Ta 4.0542 4.0542 0.0000
Cl 2.2977 2.2977 0.0000
Rb 8.1084 4.0542 2.2735
Rb 4.0542 8.1084 2.2735
Cl 2.2977 5.8108 0.0000
Cl 5.8108 5.8108 0.0000
Cl 4.0542 4.0542 2.3348
Cl 5.8108 2.2977 0.0000
Au 0.0000 0.0000 0.0000
Cl 8.1084 8.1084 2.2121
```

Output
crystal system: tetragonal
formation energy (no corrections): -1.099 eV/atom
size of the total moment: 2.0 Bohr magnetons per cell

***

Crystalline Rb2TcAuCl6 at its relaxed geometry, computed with PBE.

extended XYZ file:
```
10
Lattice="7.9165 0.0000 0.0000 0.0000 7.9165 0.0000 3.9582 3.9582 4.5469" Properties=species:S:1:pos:R:3 pbc="T T T"
Rb 3.9582 7.9165 2.2735
Cl 7.9165 7.9165 2.2356
Cl 2.2454 2.2454 0.0000
Cl 2.2454 5.6711 0.0000
Au 0.0000 0.0000 0.0000
Rb 7.9165 3.9582 2.2735
Cl 5.6711 5.6711 0.0000
Cl 3.9582 3.9582 2.3114
Tc 3.9582 3.9582 0.0000
Cl 5.6711 2.2454 0.0000
```

Output
crystal system: tetragonal
formation energy (no corrections): -0.964 eV/atom
size of the total moment: 2.3 Bohr magnetons per cell